This record from the Alexandria database describes crystalline DyIn2Rh2 at its relaxed geometry. The functional is PBE-GGA.

The space group is P2_1/m (No. 11) and the conventional cell measures 5.2653, 4.6407 and 8.9297 Å, with angles of 90.00, 106.54 and 90.00 degrees. The inequivalent atoms are Dy at (0.1854, 0.2500, 0.2689), In at (0.2432, 0.2500, 0.6353), In at (0.3542, 0.7500, 0.0306), Rh at (0.1079, 0.2500, 0.9091) and Rh at (0.3073, 0.7500, 0.4717).

As for the calculated volume: 20.9 Å³/atom. The energy of formation is -2.7 eV/f.u. The crystal system is monoclinic.